PrNdY3Tm | GGA-PBE | relaxed

Cell lengths 8.051, 8.051, 10.190 Å; angles 90.00, 90.00, 143.11 degrees
Atoms (fractional coordinates):
1 Pr 0.000 0.000 0.000
2 Pr 0.000 0.000 0.500
3 Nd 0.499 0.501 0.750
4 Nd 0.501 0.499 0.250
5 Y 0.168 0.832 0.750
6 Y 0.332 0.668 0.000
7 Y 0.332 0.668 0.500
8 Y 0.668 0.332 0.000
9 Y 0.668 0.332 0.500
10 Y 0.832 0.168 0.250
11 Tm 0.168 0.832 0.250
12 Tm 0.832 0.168 0.750

Energy of formation = 0.02 eV per atom
Uncorrected energy = -5.545 eV/atom